<A>
DFT (PBE) results for a geometry-optimized NaIn2Ir2 structure.

Cell: 4.5960 4.5960 6.2131 Å, 68.29 68.29 90.00°
With the nearest neighbours (Å) after each atom.
Fractional positions:
Ir1 0.3859 0.3859 0.2282  1 Ir 2.42
Ir2 0.6141 0.6141 0.7718  1 Ir 2.42
In1 0.2500 0.7500 0.5000  4 Ir 2.71
In2 0.7500 0.2500 0.5000  4 Ir 2.71
Na1 0.0000 0.0000 0.0000  8 Ir 3.47, 8 In 3.51

- D(E_F): 0.581 states/eV per atom



<B>
DFT (PBE) results for a geometry-optimized NaIn2Ir2 structure.

Cell: 7.9014 7.9014 3.0531 Å, 90.00 90.00 90.00°
With the nearest neighbours (Å) after each atom.
Fractional positions:
Ir1 0.8653 0.6347 0.0000  6 In 2.74-2.80, 3 Ir 3.01-3.05
Ir2 0.3653 0.8653 0.0000  6 In 2.74-2.80, 3 Ir 3.01-3.05
Ir3 0.6347 0.1347 0.0000  6 In 2.74-2.80, 3 Ir 3.01-3.05
Ir4 0.1347 0.3653 0.0000  6 In 2.74-2.80, 3 Ir 3.01-3.05
In1 0.1616 0.6616 0.5000  6 Ir 2.74-2.80, 2 In 3.05
In2 0.6616 0.8384 0.5000  6 Ir 2.74-2.80, 2 In 3.05
In3 0.8384 0.3384 0.5000  6 Ir 2.74-2.80, 2 In 3.05
In4 0.3384 0.1616 0.5000  6 Ir 2.74-2.80, 2 In 3.05
Na1 0.5000 0.5000 0.0000  2 Na 3.05, 4 Ir 3.08, 8 In 3.33
Na2 0.0000 0.0000 0.0000  2 Na 3.05, 4 Ir 3.08, 8 In 3.33

- D(E_F): 0.640 states/eV per atom



Most stable to least stable, the ends of the list are <B> and <A>.



<A>
DFT (PBE) results for a geometry-optimized Na2In2Ir structure.

Cell: 6.0281 6.3419 12.8550 Å, 96.85 90.00 90.00°
With the nearest neighbours (Å) after each atom.
Fractional positions:
Na1 0.7500 0.4467 0.2888  2 Na 3.17, 2 Ir 3.19, 4 In 3.46-3.48
Na2 0.2498 0.8689 0.9676  6 Na 3.17-3.51, 2 In 3.27-3.29
Na3 0.7498 0.6311 0.0324  6 Na 3.17-3.51, 2 In 3.27-3.29
Na4 0.7502 0.1311 0.0324  6 Na 3.17-3.51, 2 In 3.27-3.29
Na5 0.2500 0.5533 0.7112  2 Na 3.17, 2 Ir 3.19, 4 In 3.46-3.48
Na6 0.2500 0.0533 0.7112  2 Na 3.17, 2 Ir 3.19, 4 In 3.46-3.48
Na7 0.7500 0.9467 0.2888  2 Na 3.17, 2 Ir 3.19, 4 In 3.46-3.48
Na8 0.2502 0.3689 0.9676  6 Na 3.17-3.51, 2 In 3.27-3.29
In1 0.9999 0.7500 0.5000  4 Ir 2.74, 2 In 3.01
In2 0.0001 0.2500 0.5000  4 Ir 2.74, 2 In 3.01
In3 0.7492 0.8246 0.8075  2 Ir 2.77-2.78
In4 0.2492 0.6754 0.1925  2 Ir 2.77-2.78
In5 0.2508 0.1754 0.1925  2 Ir 2.77-2.78
In6 0.4999 0.7500 0.5000  4 Ir 2.74, 2 In 3.01
In7 0.5001 0.2500 0.5000  4 Ir 2.74, 2 In 3.01
In8 0.7508 0.3246 0.8075  2 Ir 2.77-2.78
Ir1 0.2500 0.9690 0.3710  6 In 2.74-2.78
Ir2 0.7500 0.0310 0.6290  6 In 2.74-2.78
Ir3 0.7500 0.5310 0.6290  6 In 2.74-2.78
Ir4 0.2500 0.4690 0.3710  6 In 2.74-2.78

- D(E_F): 0.495 states/eV per atom



<B>
DFT (PBE) results for a geometry-optimized Na2In2Ir structure.

Cell: 7.0004 7.0004 5.2984 Å, 90.00 90.00 90.00°
With the nearest neighbours (Å) after each atom.
Fractional positions:
Na1 0.3221 0.1779 0.5000  2 In 3.10
Na2 0.6779 0.8221 0.5000  2 In 3.10
Na3 0.8221 0.3221 0.5000  2 In 3.10
Na4 0.1779 0.6779 0.5000  2 In 3.10
In1 0.6590 0.1590 0.0000  2 Ir 2.63
In2 0.8410 0.6590 0.0000  2 Ir 2.63
In3 0.3410 0.8410 0.0000  2 Ir 2.63
In4 0.1590 0.3410 0.0000  2 Ir 2.63
Ir1 0.0000 0.0000 0.0000  4 In 2.63
Ir2 0.5000 0.5000 0.0000  4 In 2.63

- D(E_F): 0.521 states/eV per atom



Most stable to least stable, the ends of the list are <A> and <B>.



<A>
DFT (PBE) results for a geometry-optimized NaIn3Ir structure.

Cell: 5.1540 5.1540 5.1540 Å, 90.00 90.00 90.00°
With the nearest neighbours (Å) after each atom.
Fractional positions:
In1 0.0000 0.0000 0.5000  2 Na 2.58
In2 0.5000 0.0000 0.0000  2 Na 2.58
In3 0.0000 0.5000 0.0000  2 Na 2.58
Ir1 0.5000 0.5000 0.5000  12 In 3.64
Na1 0.0000 0.0000 0.0000  6 In 2.58

- D(E_F): 0.634 states/eV per atom



<B>
DFT (PBE) results for a geometry-optimized NaIn3Ir structure.

Cell: 4.1799 7.6945 7.6945 Å, 111.36 90.00 90.00°
With the nearest neighbours (Å) after each atom.
Fractional positions:
In1 0.0000 0.9401 0.6675  2 Ir 2.87, 4 In 3.04-3.20
In2 0.0000 0.6675 0.9401  2 Ir 2.87, 4 In 3.04-3.20
In3 0.0000 0.0599 0.3325  2 Ir 2.87, 4 In 3.04-3.20
In4 0.0000 0.5000 0.5000  4 Ir 2.70
In5 0.0000 0.3325 0.0599  2 Ir 2.87, 4 In 3.04-3.20
In6 0.5000 0.0000 0.0000  2 Ir 2.63
Na1 0.5000 0.7074 0.2926  2 Ir 3.14, 10 In 3.35-3.48
Na2 0.5000 0.2926 0.7074  2 Ir 3.14, 10 In 3.35-3.48
Ir1 0.5000 0.3034 0.3034  7 In 2.63-2.87
Ir2 0.5000 0.6966 0.6966  7 In 2.63-2.87

- D(E_F): 0.359 states/eV per atom



Most stable to least stable, the ends of the list are <B> and <A>.



<A>
DFT (PBE) results for a geometry-optimized NaIn3Ir structure.

Cell: 5.2053 5.2053 5.2053 Å, 90.00 90.00 90.00°
With the nearest neighbours (Å) after each atom.
Fractional positions:
In1 0.0000 0.5000 0.0000  2 Ir 2.60
In2 0.0000 0.0000 0.5000  2 Ir 2.60
In3 0.5000 0.0000 0.0000  2 Ir 2.60
Na1 0.5000 0.5000 0.5000  12 In 3.68
Ir1 0.0000 0.0000 0.0000  6 In 2.60

- D(E_F): 0.455 states/eV per atom



<B>
DFT (PBE) results for a geometry-optimized NaIn3Ir structure.

Cell: 4.4822 9.2789 11.6761 Å, 90.00 90.00 90.00°
With the nearest neighbours (Å) after each atom.
Fractional positions:
In1 0.2500 0.0592 0.4203  3 Ir 2.73-2.86, 1 In 3.04
In2 0.2500 0.8927 0.8000  2 Ir 2.67-2.68
In3 0.2500 0.3927 0.7000  2 Ir 2.67-2.68
In4 0.7500 0.9408 0.5797  3 Ir 2.73-2.86, 1 In 3.04
In5 0.7500 0.1073 0.2000  2 Ir 2.67-2.68
In6 0.7500 0.1628 0.7822  2 Ir 2.76, 1 In 3.04
In7 0.7500 0.4408 0.9203  3 Ir 2.73-2.86, 1 In 3.04
In8 0.2500 0.3372 0.2822  2 Ir 2.76, 1 In 3.04
In9 0.2500 0.8372 0.2178  2 Ir 2.76, 1 In 3.04
In10 0.7500 0.6073 0.3000  2 Ir 2.67-2.68
In11 0.7500 0.6628 0.7178  2 Ir 2.76, 1 In 3.04
In12 0.2500 0.5592 0.0797  3 Ir 2.73-2.86, 1 In 3.04
Ir1 0.7500 0.8898 0.3491  7 In 2.67-2.86
Ir2 0.2500 0.1102 0.6509  7 In 2.67-2.86
Ir3 0.7500 0.3898 0.1509  7 In 2.67-2.86
Ir4 0.2500 0.6102 0.8491  7 In 2.67-2.86
Na1 0.2500 0.1987 0.9991  9 In 3.30-3.67, 2 Ir 3.36
Na2 0.7500 0.8013 0.0009  9 In 3.30-3.67, 2 Ir 3.36
Na3 0.2500 0.6987 0.5009  9 In 3.30-3.67, 2 Ir 3.36
Na4 0.7500 0.3013 0.4991  9 In 3.30-3.67, 2 Ir 3.36

- D(E_F): 0.560 states/eV per atom



Most stable to least stable, the ends of the list are <B> and <A>.



<A>
DFT (PBE) results for a geometry-optimized NaInIr3 structure.

Cell: 4.9693 4.9693 4.9693 Å, 90.00 90.00 90.00°
With the nearest neighbours (Å) after each atom.
Fractional positions:
In1 0.0000 0.0000 0.0000  6 Ir 2.48
Na1 0.5000 0.5000 0.5000  12 Ir 3.51
Ir1 0.0000 0.5000 0.0000  2 In 2.48
Ir2 0.0000 0.0000 0.5000  2 In 2.48
Ir3 0.5000 0.0000 0.0000  2 In 2.48

- D(E_F): 1.586 states/eV per atom



<B>
DFT (PBE) results for a geometry-optimized NaInIr3 structure.

Cell: 4.5254 4.5254 4.5254 Å, 90.00 90.00 90.00°
With the nearest neighbours (Å) after each atom.
Fractional positions:
In1 0.5000 0.5000 0.5000  12 Ir 3.20
Na1 0.0000 0.0000 0.0000  6 Ir 2.26
Ir1 0.0000 0.0000 0.5000  2 Na 2.26
Ir2 0.5000 0.0000 0.0000  2 Na 2.26
Ir3 0.0000 0.5000 0.0000  2 Na 2.26

- D(E_F): 1.299 states/eV per atom



Most stable to least stable, the ends of the list are <A> and <B>.



<A>
DFT (PBE) results for a geometry-optimized NaInSnIr structure.

Cell: 4.7692 4.7692 4.7692 Å, 60.00 60.00 60.00°
With the nearest neighbours (Å) after each atom.
Fractional positions:
Na1 0.0000 0.0000 0.0000  4 In 2.92, 4 Sn 2.92
Sn1 0.2500 0.2500 0.2500  4 Na 2.92, 4 Ir 2.92
In1 0.7500 0.7500 0.7500  4 Ir 2.92, 4 Na 2.92
Ir1 0.5000 0.5000 0.5000  4 Sn 2.92, 4 In 2.92

- D(E_F): 0.506 states/eV per atom



<B>
DFT (PBE) results for a geometry-optimized NaInSnIr structure.

Cell: 4.4874 4.4874 6.1368 Å, 68.55 68.55 60.00°
With the nearest neighbours (Å) after each atom.
Fractional positions:
Sn1 0.0236 0.0236 0.9292  3 Ir 2.74
Na1 0.8145 0.8145 0.5566  1 Ir 2.97, 3 In 3.11, 3 Sn 3.32
Ir1 0.6366 0.6366 0.0902  3 In 2.73, 3 Sn 2.74, 1 Na 2.97
In1 0.2512 0.2512 0.2464  3 Ir 2.73

- D(E_F): 0.393 states/eV per atom



Most stable to least stable, the ends of the list are <B> and <A>.



<A>
DFT (PBE) results for a geometry-optimized NaIn2SnIr structure.

Cell: 5.2243 5.2243 5.1871 Å, 90.00 90.00 90.00°
With the nearest neighbours (Å) after each atom.
Fractional positions:
Sn1 0.0000 0.0000 0.5000  2 Ir 2.59
In1 0.0000 0.5000 0.0000  2 Ir 2.61
In2 0.5000 0.0000 0.0000  2 Ir 2.61
Na1 0.5000 0.5000 0.5000  8 In 3.68, 4 Sn 3.69
Ir1 0.0000 0.0000 0.0000  2 Sn 2.59, 4 In 2.61

- D(E_F): 0.779 states/eV per atom



<B>
DFT (PBE) results for a geometry-optimized NaIn2SnIr structure.

Cell: 5.1405 5.3610 5.1405 Å, 90.00 90.00 90.00°
With the nearest neighbours (Å) after each atom.
Fractional positions:
Sn1 0.5000 0.5000 0.5000  4 Na 3.63, 8 In 3.71
In1 0.0000 0.0000 0.5000  2 Ir 2.57
In2 0.5000 0.0000 0.0000  2 Ir 2.57
Na1 0.0000 0.5000 0.0000  2 Ir 2.68
Ir1 0.0000 0.0000 0.0000  4 In 2.57, 2 Na 2.68

- D(E_F): 0.657 states/eV per atom



Most stable to least stable, the ends of the list are <A> and <B>.



<A>
DFT (PBE) results for a geometry-optimized NbInIr3 structure.

Cell: 4.8047 4.8047 4.8047 Å, 90.00 90.00 90.00°
With the nearest neighbours (Å) after each atom.
Fractional positions:
Ir1 0.5000 0.0000 0.0000  2 Nb 2.40
Ir2 0.0000 0.0000 0.5000  2 Nb 2.40
Ir3 0.0000 0.5000 0.0000  2 Nb 2.40
In1 0.5000 0.5000 0.5000  12 Ir 3.40
Nb1 0.0000 0.0000 0.0000  6 Ir 2.40

- D(E_F): 1.308 states/eV per atom



<B>
DFT (PBE) results for a geometry-optimized NbInIr3 structure.

Cell: 4.7533 4.7533 4.7533 Å, 90.00 90.00 90.00°
With the nearest neighbours (Å) after each atom.
Fractional positions:
In1 0.0000 0.0000 0.0000  6 Ir 2.38
Ir1 0.0000 0.0000 0.5000  2 In 2.38
Ir2 0.5000 0.0000 0.0000  2 In 2.38
Ir3 0.0000 0.5000 0.0000  2 In 2.38
Nb1 0.5000 0.5000 0.5000  12 Ir 3.36

- D(E_F): 3.008 states/eV per atom



Most stable to least stable, the ends of the list are <A> and <B>.



<A>
DFT (PBE) results for a geometry-optimized NbIn3Ir structure.

Cell: 5.0471 5.0471 5.0471 Å, 90.00 90.00 90.00°
With the nearest neighbours (Å) after each atom.
Fractional positions:
In1 0.5000 0.0000 0.0000  2 Ir 2.52
In2 0.0000 0.0000 0.5000  2 Ir 2.52
In3 0.0000 0.5000 0.0000  2 Ir 2.52
Ir1 0.0000 0.0000 0.0000  6 In 2.52
Nb1 0.5000 0.5000 0.5000  12 In 3.57

- D(E_F): 1.666 states/eV per atom



<B>
DFT (PBE) results for a geometry-optimized NbIn3Ir structure.

Cell: 5.2799 5.2799 5.2799 Å, 90.00 90.00 90.00°
With the nearest neighbours (Å) after each atom.
Fractional positions:
Nb1 0.0000 0.0000 0.0000  6 In 2.64
In1 0.0000 0.5000 0.0000  2 Nb 2.64
In2 0.5000 0.0000 0.0000  2 Nb 2.64
In3 0.0000 0.0000 0.5000  2 Nb 2.64
Ir1 0.5000 0.5000 0.5000  12 In 3.73

- D(E_F): 1.354 states/eV per atom



Most stable to least stable, the ends of the list are <A> and <B>.



<A>
DFT (PBE) results for a geometry-optimized NbInPIr2 structure.

Cell: 4.4249 4.6787 4.4249 Å, 90.00 90.00 90.00°
With the nearest neighbours (Å) after each atom.
Fractional positions:
Ir1 0.5000 0.0000 0.0000  2 P 2.21
Ir2 0.0000 0.0000 0.5000  2 P 2.21
P1 0.0000 0.0000 0.0000  4 Ir 2.21, 2 Nb 2.34
In1 0.5000 0.5000 0.5000  4 Nb 3.13, 8 Ir 3.22
Nb1 0.0000 0.5000 0.0000  2 P 2.34

- D(E_F): 0.915 states/eV per atom



<B>
DFT (PBE) results for a geometry-optimized NbInPIr2 structure.

Cell: 4.8370 4.6853 4.8370 Å, 90.00 90.00 90.00°
With the nearest neighbours (Å) after each atom.
Fractional positions:
P1 0.0000 0.5000 0.0000  2 In 2.34
Nb1 0.5000 0.5000 0.5000  8 Ir 3.37, 4 P 3.42
Ir1 0.5000 0.0000 0.0000  2 In 2.42
Ir2 0.0000 0.0000 0.5000  2 In 2.42
In1 0.0000 0.0000 0.0000  2 P 2.34, 4 Ir 2.42

- D(E_F): 1.910 states/eV per atom



Most stable to least stable, the ends of the list are <A> and <B>.



<A>
DFT (PBE) results for a geometry-optimized Nd6In2Ir structure.

Cell: 3.9347 8.9200 8.9178 Å, 120.01 90.00 90.00°
With the nearest neighbours (Å) after each atom.
Fractional positions:
Nd1 0.5000 0.6044 0.0000  4 In 3.37, 1 Ir 3.53, 6 Nd 3.65-3.78
Nd2 0.5000 0.9999 0.6048  4 In 3.37, 1 Ir 3.52, 4 Nd 3.65-3.66
Nd3 0.0000 0.7573 0.7576  2 Ir 2.93
Nd4 0.0000 0.9997 0.2424  2 Ir 2.93
Nd5 0.5000 0.3951 0.3952  4 In 3.37, 1 Ir 3.52, 4 Nd 3.65-3.66
Nd6 0.0000 0.2431 0.0000  2 Ir 2.92
In1 0.0000 0.6668 0.3337  9 Nd 3.37-3.45
In2 0.0000 0.3331 0.6663  9 Nd 3.37-3.45
Ir1 0.5000 0.0005 0.0000  6 Nd 2.92-2.93

- D(E_F): 1.238 states/eV per atom



<B>
DFT (PBE) results for a geometry-optimized Nd6In2Ir structure.

Cell: 6.0055 9.0436 10.4428 Å, 90.00 87.15 90.00°
With the nearest neighbours (Å) after each atom.
Fractional positions:
Ir1 0.5000 0.5000 0.0000  6 Nd 2.81-2.95
Ir2 0.0000 0.0000 0.5000  6 Nd 2.81-2.95
Nd1 0.0835 0.3368 0.0609  1 Ir 2.95
Nd2 0.9165 0.6632 0.9391  1 Ir 2.95
Nd3 0.5828 0.1918 0.9404  1 Ir 2.89
Nd4 0.9243 0.9774 0.2371  1 Ir 2.81
Nd5 0.4165 0.8368 0.4391  1 Ir 2.95
Nd6 0.5835 0.1632 0.5609  1 Ir 2.95
Nd7 0.4243 0.5226 0.7371  1 Ir 2.81
Nd8 0.0828 0.3082 0.4404  1 Ir 2.89
Nd9 0.0757 0.0226 0.7629  1 Ir 2.81
Nd10 0.4172 0.8082 0.0596  1 Ir 2.89
Nd11 0.9172 0.6918 0.5596  1 Ir 2.89
Nd12 0.5757 0.4774 0.2629  1 Ir 2.81
In1 0.5641 0.8702 0.7535  9 Nd 3.24-3.51
In2 0.0641 0.6298 0.2535  9 Nd 3.24-3.51
In3 0.4359 0.1298 0.2465  9 Nd 3.24-3.51
In4 0.9359 0.3702 0.7465  9 Nd 3.24-3.51

- D(E_F): 1.128 states/eV per atom



Most stable to least stable, the ends of the list are <A> and <B>.



<A>
DFT (PBE) results for a geometry-optimized Nd2InIr structure.

Cell: 4.0366 7.4540 7.6683 Å, 90.00 105.26 90.00°
With the nearest neighbours (Å) after each atom.
Fractional positions:
Ir1 0.8013 0.2500 0.6026  6 Nd 2.88-3.02, 1 In 2.89
Ir2 0.1987 0.7500 0.3974  6 Nd 2.88-3.02, 1 In 2.89
Nd1 0.3593 0.0002 0.7185  3 Ir 2.88-3.02
Nd2 0.6407 0.5002 0.2815  3 Ir 2.88-3.02
Nd3 0.6407 0.9998 0.2815  3 Ir 2.88-3.02
Nd4 0.3593 0.4998 0.7185  3 Ir 2.88-3.02
In1 0.9967 0.2500 0.9934  1 Ir 2.89
In2 0.0033 0.7500 0.0066  1 Ir 2.89

- D(E_F): 0.747 states/eV per atom



<B>
DFT (PBE) results for a geometry-optimized Nd2InIr structure.

Cell: 3.6313 3.6313 7.8389 Å, 90.00 90.00 90.00°
With the nearest neighbours (Å) after each atom.
Fractional positions:
Nd1 0.0000 0.0000 0.7849  4 Ir 3.07, 1 Nd 3.37, 4 In 3.40
Nd2 0.0000 0.0000 0.2151  4 Ir 3.07, 1 Nd 3.37, 4 In 3.40
Ir1 0.5000 0.5000 0.0000  8 Nd 3.07
In1 0.5000 0.5000 0.5000  8 Nd 3.40, 4 In 3.63

- D(E_F): 0.500 states/eV per atom



<C>
DFT (PBE) results for a geometry-optimized Nd2InIr structure.

Cell: 5.2435 5.2435 5.2435 Å, 60.00 60.00 60.00°
With the nearest neighbours (Å) after each atom.
Fractional positions:
Nd1 0.7500 0.7500 0.7500  4 Ir 3.21, 4 In 3.21
Nd2 0.2500 0.2500 0.2500  4 In 3.21, 4 Ir 3.21
Ir1 0.5000 0.5000 0.5000  8 Nd 3.21
In1 0.0000 0.0000 0.0000  8 Nd 3.21

- D(E_F): 0.888 states/eV per atom



Most stable to least stable, the ends of the list are <A> and <C>.